DFT (GGA-PBE) results for a relaxed structure of CrRuI3.

Structure (extended XYZ):
```
5
Lattice="5.435 0.000 0.000 0.000 5.435 0.000 0.000 0.000 5.435" Properties=species:S:1:pos:R:3 pbc="T T T"
Cr 0.000 0.000 0.000
Ru 2.717 2.717 2.717
I 0.000 2.717 2.717
I 2.717 0.000 2.717
I 2.717 2.717 0.000
```

Summary:
ΔE_f (raw) = 0.677 eV/atom
E_tot = -20.164 eV for the cell shown
E above lowest polymorph = 0.00 eV per formula unit